{"formula": "TcAgTe2", "functional": "GGA-PBE", "state": "optimized geometry", "dft_energy_ev_per_atom": -4.627, "mass_density_g_cm3": 6.45, "raw_formation_energy_mev_per_atom": 248.6, "e_above_lowest_polymorph_mev_per_atom": 117.7, "magnetic_moment_mub_per_fu": 0.00, "cell": [[-5.8056, 1.3759, 1.6909], [-0.5040, -5.5269, 2.7670], [-1.0438, 0.3660, 7.4902]], "species": ["Te", "Te", "Te", "Te", "Tc", "Tc", "Ag", "Ag"], "fractional_positions": [[0.5924, 0.1250, 0.2500], [0.1576, 0.6250, 0.2500], [0.3750, 0.4076, 0.7500], [0.8750, 0.8424, 0.7500], [0.5000, 0.5000, 0.0000], [0.2500, 0.7500, 0.5000], [0.0000, 0.0000, 0.0000], [0.7500, 0.2500, 0.5000]]}